1 | This record from Alexandria via LeMat-Bulk describes a geometry-optimized CrReSe2 structure. The functional is PBE.

- crystal system = cubic

Unit cell a=4.5269 b=4.5269 c=4.5269 alpha=60.00 beta=60.00 gamma=60.00
Last column: magnetic moment on the atom in μB.
Element x y z (fractional)
Re 0.2500 0.2500 0.2500  -0.40
Cr 0.5000 0.5000 0.5000  2.70
Se 0.7500 0.7500 0.7500  -0.01
Se 0.0000 0.0000 0.0000  0.11

***

2 | This record from Alexandria via LeMat-Bulk describes a geometry-optimized CrReSe2 structure. The functional is PBE.

- crystal system = cubic

Unit cell a=4.3458 b=4.3458 c=4.3458 alpha=60.00 beta=60.00 gamma=60.00
Element x y z (fractional)
Se 0.2500 0.2500 0.2500
Se 0.7500 0.7500 0.7500
Re 0.5000 0.5000 0.5000
Cr 0.0000 0.0000 0.0000

***

3 | This record from Alexandria via LeMat-Bulk describes a geometry-optimized CrReSe2 structure. The functional is PBE.

- crystal system = trigonal

Unit cell a=7.8294 b=7.8294 c=7.8294 alpha=22.34 beta=22.34 gamma=22.34
Last column: magnetic moment on the atom in μB.
Element x y z (fractional)
Se 0.9967 0.9967 0.9967  -0.04
Se 0.5033 0.5033 0.5033  -0.04
Re 0.7500 0.7500 0.7500  0.12
Cr 0.2500 0.2500 0.2500  1.21

***

Which of them is most stable? Easy: 3.